# 1
TbIn2Ge (PBE-GGA, relaxed); density of states at the Fermi level = 1.34 states/eV/cell; space group = No. 123; ΔE to the lowest computed polymorph = 0 meV per atom; E = -16.399 eV per formula unit; ΔH_f (0 K) = -0.42 eV/atom
1.0
4.922 0.000 0.000
0.000 4.362 0.000
0.000 0.000 4.362
Ge Tb In
1 1 2
Cartesian
2.461 2.181 2.181 Ge
2.461 0.000 0.000 Tb
0.000 0.000 2.181 In
0.000 2.181 0.000 In

***

# 2
PaBe4Pb3O12 (PBE-GGA, relaxed); density of states at the Fermi level = 3.89 states/eV/cell; space group = No. 155; E = -132.510 eV per formula unit; E_form (uncorrected) = -37.5 eV/f.u.
1.0
6.597 0.012 0.017
-1.578 6.406 0.017
-1.578 -2.018 6.080
Pb Be O Pa
3 4 12 1
Cartesian
-1.578 2.577 2.773 Pb
2.881 2.919 0.017 Pb
2.139 -1.095 3.324 Pb
-2.001 1.276 5.817 Be
1.721 2.200 3.057 Be
1.721 6.035 0.296 Be
5.443 -0.711 3.057 Be
-0.882 0.159 5.944 O
1.721 0.967 3.944 O
4.323 -1.186 4.076 O
5.634 0.490 2.037 O
0.367 5.896 1.112 O
2.918 2.497 2.169 O
1.721 -1.167 5.480 O
0.524 3.136 3.057 O
-2.193 2.624 5.002 O
3.075 5.218 0.169 O
4.988 3.011 0.633 O
-1.547 4.756 3.057 O
0.000 0.000 0.000 Pa